1.
A plane-wave DFT calculation with PBE was carried out for an optimized crystal structure of P2Rh2Se.

Unit cell a=5.554 b=5.554 c=5.554 alpha=136.74 beta=136.74 gamma=62.84
Fractional positions:
P (0.122, 0.122, 0.000)
P (0.878, 0.878, 0.000)
Rh (0.250, 0.750, 0.500)
Rh (0.750, 0.250, 0.500)
Se (0.500, 0.500, 0.000)

Output
SG: I4/mmm, No. 139
Formation energy without anion corrections (eV per atom): -0.229
Mass density (g/cm³): 7.2
ΔE to the lowest computed polymorph (meV per atom): 0
Volume (Å³/cell): 79.5


2.
A plane-wave DFT calculation with PBE was carried out for an optimized crystal structure of PRhSe2.

Unit cell a=3.119 b=4.470 c=4.768 alpha=90.00 beta=90.00 gamma=90.00
Fractional positions:
P (0.000, 0.000, 0.000)
Rh (0.500, 0.000, 0.500)
Se (0.000, 0.500, 0.500)
Se (0.500, 0.500, 0.000)

Output
SG: Pmmm, No. 47
Formation energy without anion corrections (eV per atom): 0.472
Mass density (g/cm³): 7.3
Volume (Å³/cell): 66.5


3.
A plane-wave DFT calculation with PBE was carried out for an optimized crystal structure of P2RhSe.

Unit cell a=4.428 b=4.428 c=4.428 alpha=120.29 beta=120.29 gamma=89.49
Fractional positions:
P (0.000, 0.000, 0.000)
P (0.750, 0.250, 0.500)
Rh (0.250, 0.750, 0.500)
Se (0.500, 0.500, 0.000)

Output
SG: I-4m2, No. 119
Formation energy without anion corrections (eV per atom): 0.412
Mass density (g/cm³): 6.6
Volume (Å³/cell): 61.1